No. 1
DFT (PBE) results for a relaxed NpRh4Pb crystal.

a = 5.3173 Å, b = 5.3173 Å, c = 5.3173 Å
α = 60.00°, β = 60.00°, γ = 60.00°
Each line ends with the local moment (μB).
Atoms (fractional coordinates):
Np1 0.2500 0.2500 0.2500  3.42
Pb1 0.0000 0.0000 0.0000  0.02
Rh1 0.6255 0.6255 0.1234  -0.22
Rh2 0.6255 0.1234 0.6255  -0.22
Rh3 0.6255 0.6255 0.6255  -0.22
Rh4 0.1234 0.6255 0.6255  -0.22

- energy (eV for the cell shown) = -47.28
- crystal system = cubic
- SG = F-43m (216)
- energy of formation from the pure elements (meV/atom) = -205

---

No. 2
DFT (PBE) results for a relaxed Be2POs crystal.

a = 3.4640 Å, b = 2.9008 Å, c = 4.4312 Å
α = 90.01°, β = 90.00°, γ = 90.00°
Atoms (fractional coordinates):
P1 0.5000 0.7500 0.7500
Os1 0.5000 0.2500 0.2500
Be1 0.0000 0.7497 0.0164
Be2 0.0000 0.7503 0.4836

- energy (eV for the cell shown) = -24.17
- crystal system = orthorhombic
- SG = Pmmm (47)
- energy of formation from the pure elements (meV/atom) = -21

---

No. 3
DFT (PBE) results for a relaxed KHf2ZnCl crystal.

a = 5.3195 Å, b = 5.2208 Å, c = 5.3195 Å
α = 90.00°, β = 90.00°, γ = 90.00°
Atoms (fractional coordinates):
Zn1 0.0000 0.5000 0.0000
Hf1 0.0000 0.0000 0.5000
Hf2 0.5000 0.0000 0.0000
K1 0.0000 0.0000 0.0000
Cl1 0.5000 0.5000 0.5000

- energy (eV for the cell shown) = -13.94
- raw formation energy (meV/atom) = 2036
- crystal system = tetragonal
- SG = P4/mmm (123)

---

No. 4
DFT (PBE) results for a relaxed Dy4In3Pb crystal.

a = 5.5532 Å, b = 7.1241 Å, c = 10.8918 Å
α = 90.00°, β = 90.00°, γ = 90.00°
Atoms (fractional coordinates):
Pb1 0.0000 0.5000 0.0000
Pb2 0.0000 0.5000 0.5000
In1 0.0000 0.0000 0.0000
In2 0.0000 0.0000 0.5000
In3 0.5911 0.0000 0.7500
In4 0.4089 0.0000 0.2500
In5 0.5851 0.5000 0.7500
In6 0.4149 0.5000 0.2500
Dy1 0.5000 0.7526 0.0000
Dy2 0.5000 0.7526 0.5000
Dy3 0.5000 0.2474 0.0000
Dy4 0.5000 0.2474 0.5000
Dy5 0.0817 0.7523 0.7500
Dy6 0.9183 0.7523 0.2500
Dy7 0.9183 0.2477 0.2500
Dy8 0.0817 0.2477 0.7500

- energy (eV for the cell shown) = -67.71
- crystal system = orthorhombic
- SG = Pmma (51)
- energy of formation from the pure elements (meV/atom) = -440

---

No. 5
DFT (PBE) results for a relaxed KSb crystal.

a = 5.7987 Å, b = 4.5419 Å, c = 5.7926 Å
α = 90.00°, β = 99.80°, γ = 90.00°
Atoms (fractional coordinates):
K1 0.7849 0.0000 0.7156
K2 0.2151 0.0000 0.2844
Sb1 0.3179 0.5000 0.8169
Sb2 0.6821 0.5000 0.1831

- energy (eV for the cell shown) = -11.68
- raw formation energy (meV/atom) = -309
- crystal system = monoclinic
- SG = P2/m (10)

---

No. 6
DFT (PBE) results for a relaxed ErSiB crystal.

a = 4.0659 Å, b = 3.5397 Å, c = 3.5397 Å
α = 120.00°, β = 90.00°, γ = 90.00°
Atoms (fractional coordinates):
Si1 0.1666 0.0000 0.0000
B1 0.1667 0.6667 0.3333
Er1 0.6666 0.3333 0.6667

- energy (eV for the cell shown) = -18.64
- raw formation energy (meV/atom) = -660
- crystal system = hexagonal
- SG = P-6m2 (187)

---

No. 7
DFT (PBE) results for a relaxed Zr3TlNi crystal.

a = 4.8830 Å, b = 4.8830 Å, c = 4.8830 Å
α = 90.00°, β = 90.00°, γ = 90.00°
Atoms (fractional coordinates):
Ni1 0.0000 0.0000 0.0000
Tl1 0.5000 0.5000 0.5000
Zr1 0.0000 0.5000 0.0000
Zr2 0.0000 0.0000 0.5000
Zr3 0.5000 0.0000 0.0000

- energy (eV for the cell shown) = -33.37
- crystal system = cubic
- SG = Pm-3m (221)
- energy of formation from the pure elements (meV/atom) = 84

---

No. 8
DFT (PBE) results for a relaxed Zn2CrSi crystal.

a = 3.7194 Å, b = 3.7190 Å, c = 3.9559 Å
α = 90.00°, β = 90.00°, γ = 90.00°
Each line ends with the local moment (μB).
Atoms (fractional coordinates):
Cr1 0.5000 0.0000 0.5000  2.53
Si1 0.0000 0.5000 0.5000  -0.06
Zn1 0.0000 0.0000 0.0000  -0.03
Zn2 0.5000 0.5000 0.0000  -0.03

- energy (eV for the cell shown) = -17.34
- raw formation energy (meV/atom) = 63
- crystal system = tetragonal
- SG = P4/mmm (123)